Entry a
{
  "formula": "Ta2CrHRu",
  "functional": "GGA-PBE",
  "state": "optimized geometry",
  "lattice": [[4.355, 0.000, 0.000], [0.000, 4.355, 0.000], [0.000, 0.000, 3.439]],
  "species": ["Ta", "Ta", "Cr", "H", "Ru"],
  "frac_coords": [[0.000, 0.500, 0.000], [0.500, 0.000, 0.000], [0.000, 0.000, 0.500], [0.500, 0.500, 0.000], [0.500, 0.500, 0.500]],
  "dos_at_fermi_per_ev_cell": 3.86,
  "mass_density_g_cm3": 13.13
}


Entry b
{
  "formula": "Ta2CrHRu",
  "functional": "GGA-PBE",
  "state": "optimized geometry",
  "lattice": [[4.388, 0.000, 0.000], [0.000, 4.388, 0.000], [0.000, 0.000, 3.331]],
  "species": ["Ta", "Ta", "Cr", "H", "Ru"],
  "frac_coords": [[0.000, 0.500, 0.000], [0.500, 0.000, 0.000], [0.000, 0.000, 0.500], [0.000, 0.000, 0.000], [0.500, 0.500, 0.500]],
  "dos_at_fermi_per_ev_cell": 4.32,
  "mass_density_g_cm3": 13.36
}


It is entry b that is the most stable of them.


Entry a
{
  "formula": "CrTc2HRu",
  "functional": "GGA-PBE",
  "state": "optimized geometry",
  "lattice": [[3.868, 0.000, 0.000], [0.000, 3.868, 0.000], [0.000, 0.000, 3.847]],
  "species": ["Cr", "Tc", "Tc", "H", "Ru"],
  "frac_coords": [[0.000, 0.000, 0.000], [0.000, 0.500, 0.500], [0.500, 0.000, 0.500], [0.500, 0.500, 0.500], [0.500, 0.500, 0.000]],
  "dos_at_fermi_per_ev_cell": 4.94,
  "mass_density_g_cm3": 10.10
}


Entry b
{
  "formula": "CrTc2HRu",
  "functional": "GGA-PBE",
  "state": "optimized geometry",
  "lattice": [[3.868, 0.000, 0.000], [0.000, 3.868, 0.000], [0.000, 0.000, 3.820]],
  "species": ["Cr", "Tc", "Tc", "H", "Ru"],
  "frac_coords": [[0.000, 0.000, 0.000], [0.000, 0.500, 0.500], [0.500, 0.000, 0.500], [0.000, 0.000, 0.500], [0.500, 0.500, 0.000]],
  "dos_at_fermi_per_ev_cell": 5.56,
  "mass_density_g_cm3": 10.17
}


It is entry b that is the most stable of them.


Entry a
{
  "formula": "Cr2HS2",
  "functional": "GGA-PBE",
  "state": "optimized geometry",
  "lattice": [[6.628, 0.000, 0.000], [0.000, 6.628, 0.000], [0.000, 0.000, 3.032]],
  "species": ["Cr", "Cr", "Cr", "Cr", "H", "H", "S", "S", "S", "S"],
  "frac_coords": [[0.142, 0.358, 0.000], [0.358, 0.858, 0.000], [0.642, 0.142, 0.000], [0.858, 0.642, 0.000], [0.000, 0.000, 0.500], [0.500, 0.500, 0.500], [0.151, 0.651, 0.500], [0.349, 0.151, 0.500], [0.651, 0.849, 0.500], [0.849, 0.349, 0.500]],
  "dos_at_fermi_per_ev_cell": 4.74,
  "mass_density_g_cm3": 4.22
}


Entry b
{
  "formula": "Cr2HS2",
  "functional": "GGA-PBE",
  "state": "optimized geometry",
  "lattice": [[-1.932, 1.932, 5.878], [1.932, -1.932, 5.878], [1.932, 1.932, -5.878]],
  "species": ["Cr", "Cr", "H", "S", "S"],
  "frac_coords": [[0.250, 0.750, 0.500], [0.750, 0.250, 0.500], [0.000, 0.000, 0.000], [0.352, 0.352, 0.000], [0.648, 0.648, 0.000]],
  "dos_at_fermi_per_ev_cell": 1.83,
  "mass_density_g_cm3": 3.20
}


It is entry b that is the most stable of them.